(1)
The following is a DFT calculation (GGA-PBE) of crystalline Cs2AgBrCl6 at its relaxed geometry.

Values from the calculation:
Total energy (eV for the cell shown): -26.71
Space-group type: I4/mmm
Raw formation energy (kcal/mol of atoms): -21.68

Structure (POSCAR):
```
Cs2AgBrCl6
1.0
7.435 0.000 0.000
0.000 7.435 0.000
3.718 3.718 5.908
Cs Br Ag Cl
2 1 1 6
direct
0.750 0.250 0.500 Cs
0.250 0.750 0.500 Cs
0.500 0.500 0.000 Br
0.000 0.000 0.000 Ag
0.204 0.204 0.592 Cl
0.796 0.796 0.408 Cl
0.263 0.263 0.000 Cl
0.737 0.737 0.000 Cl
0.737 0.263 0.000 Cl
0.263 0.737 0.000 Cl
```


(2)
The following is a DFT calculation (GGA-PBE) of crystalline ScGaTe2 at its relaxed geometry.

Values from the calculation:
Total energy (eV for the cell shown): -35.99
Space-group type: I-42d
Raw formation energy (kcal/mol of atoms): -13.57

Structure (POSCAR):
```
ScGaTe2
1.0
-0.488 -6.216 3.229
-3.033 -2.730 -5.714
3.971 -6.100 -3.507
Sc Te Ga
2 4 2
direct
0.500 0.500 0.000 Sc
0.250 0.750 0.500 Sc
0.588 0.125 0.250 Te
0.162 0.625 0.250 Te
0.375 0.412 0.750 Te
0.875 0.838 0.750 Te
0.000 0.000 0.000 Ga
0.750 0.250 0.500 Ga
```


(3)
The following is a DFT calculation (GGA-PBE) of crystalline Ni6Ge2B at its relaxed geometry.

Values from the calculation:
ΔH_f (0 K) (eV/atom): -0.2264
Total energy (eV for the cell shown): -105.27
Space-group type: P4/mnc

Structure (POSCAR):
```
Ni6Ge2B
1.0
5.131 0.000 0.000
0.000 5.131 0.000
0.000 0.000 7.719
Ni Ge B
12 4 2
direct
0.294 0.185 0.500 Ni
0.706 0.815 0.500 Ni
0.685 0.794 0.000 Ni
0.185 0.706 0.500 Ni
0.815 0.294 0.500 Ni
0.206 0.685 0.000 Ni
0.000 0.000 0.254 Ni
0.500 0.500 0.246 Ni
0.000 0.000 0.746 Ni
0.500 0.500 0.754 Ni
0.315 0.206 0.000 Ni
0.794 0.315 0.000 Ni
0.000 0.500 0.250 Ge
0.500 0.000 0.250 Ge
0.500 0.000 0.750 Ge
0.000 0.500 0.750 Ge
0.000 0.000 0.000 B
0.500 0.500 0.500 B
```


(4)
The following is a DFT calculation (GGA-PBE) of crystalline Ca6Cd5Ga at its relaxed geometry.

Values from the calculation:
ΔH_f (0 K) (eV/atom): -0.3740
Total energy (eV for the cell shown): -24.10
Space-group type: P2/m

Structure (POSCAR):
```
Ca6Cd5Ga
1.0
-3.028 -3.715 2.365
6.150 -4.708 0.479
3.310 4.933 5.983
Ca Ga Cd
6 1 5
direct
0.837 0.753 0.673 Ca
0.837 0.247 0.673 Ca
0.500 0.243 0.000 Ca
0.500 0.757 0.000 Ca
0.163 0.753 0.327 Ca
0.163 0.247 0.327 Ca
0.000 0.000 0.000 Ga
0.667 0.500 0.334 Cd
0.332 0.000 0.663 Cd
0.000 0.500 0.000 Cd
0.668 0.000 0.337 Cd
0.333 0.500 0.666 Cd
```


(5)
The following is a DFT calculation (GGA-PBE) of crystalline CeAs3Au3 at its relaxed geometry.

Values from the calculation:
ΔH_f (0 K) (eV/atom): -0.0548
Total energy (eV for the cell shown): -60.20
Space-group type: Pm-3n

Structure (POSCAR):
```
CeAs3Au3
1.0
7.122 0.000 0.000
0.000 7.122 0.000
0.000 0.000 7.122
As Au Ce
6 6 2
direct
0.250 0.000 0.500 As
0.000 0.500 0.250 As
0.500 0.750 0.000 As
0.750 0.000 0.500 As
0.000 0.500 0.750 As
0.500 0.250 0.000 As
0.000 0.250 0.500 Au
0.000 0.750 0.500 Au
0.500 0.000 0.750 Au
0.750 0.500 0.000 Au
0.500 0.000 0.250 Au
0.250 0.500 0.000 Au
0.500 0.500 0.500 Ce
0.000 0.000 0.000 Ce
```


(6)
The following is a DFT calculation (GGA-PBE) of crystalline NaTlIn4 at its relaxed geometry.

Values from the calculation:
E above lowest polymorph (eV per formula unit): 0.81
ΔH_f (0 K) (eV/atom): 0.0823
Total energy (eV for the cell shown): -28.29
Space-group type: Cmcm

Structure (POSCAR):
```
NaTlIn4
1.0
-2.770 4.419 1.777
-7.340 -4.251 -0.867
2.014 -4.816 6.574
Na Tl In
2 2 8
direct
0.366 0.750 0.732 Na
0.634 0.250 0.268 Na
0.156 0.750 0.311 Tl
0.844 0.250 0.689 Tl
0.244 0.422 0.489 In
0.756 0.578 0.511 In
0.244 0.078 0.489 In
0.756 0.922 0.511 In
0.559 0.750 0.118 In
0.441 0.250 0.882 In
0.000 0.500 0.000 In
0.000 0.000 0.000 In
```


(7)
The following is a DFT calculation (GGA-PBE) of crystalline Er2Al3Co at its relaxed geometry.

Values from the calculation:
E above lowest polymorph (eV per formula unit): 0.00
ΔH_f (0 K) (eV/atom): -0.4959
Total energy (eV for the cell shown): -60.87
Space-group type: P6_3/mmc

Structure (POSCAR):
```
Er2Al3Co
1.0
5.469 0.000 0.000
-2.735 4.737 0.000
0.000 0.000 8.530
Er Al Co
4 6 2
direct
0.333 0.667 0.445 Er
0.667 0.333 0.945 Er
0.667 0.333 0.555 Er
0.333 0.667 0.055 Er
0.324 0.162 0.250 Al
0.162 0.838 0.750 Al
0.162 0.324 0.750 Al
0.838 0.676 0.250 Al
0.676 0.838 0.750 Al
0.838 0.162 0.250 Al
0.000 0.000 0.000 Co
0.000 0.000 0.500 Co
```


(8)
The following is a DFT calculation (GGA-PBE) of crystalline Ba3ErBi2O8 at its relaxed geometry.

Values from the calculation:
Total energy (eV for the cell shown): -86.93
Space-group type: P-3m1
Raw formation energy (kcal/mol of atoms): -48.04

Structure (POSCAR):
```
Ba3ErBi2O8
1.0
6.266 0.000 0.000
-3.133 5.426 0.000
0.000 0.000 8.131
Ba Er Bi O
3 1 2 8
direct
0.333 0.667 0.628 Ba
0.667 0.333 0.372 Ba
0.000 0.000 0.000 Ba
0.000 0.000 0.500 Er
0.333 0.667 0.195 Bi
0.667 0.333 0.805 Bi
0.333 0.667 0.926 O
0.667 0.333 0.074 O
0.162 0.838 0.333 O
0.838 0.162 0.667 O
0.162 0.325 0.333 O
0.838 0.675 0.667 O
0.675 0.838 0.333 O
0.325 0.162 0.667 O
```


(9)
The following is a DFT calculation (GGA-PBE) of crystalline Sm3TmSb4 at its relaxed geometry.

Values from the calculation:
Total energy (eV for the cell shown): -44.28
Space-group type: Cmmm
Raw formation energy (kcal/mol of atoms): -26.40

Structure (POSCAR):
```
Sm3TmSb4
1.0
-2.980 0.047 3.293
1.186 -7.503 1.180
4.860 4.078 4.340
Sm Tm Sb
3 1 4
direct
0.000 0.000 0.500 Sm
0.500 0.500 0.500 Sm
0.000 0.500 0.000 Sm
0.500 0.000 0.000 Tm
0.000 0.244 0.244 Sb
0.500 0.753 0.247 Sb
0.000 0.756 0.756 Sb
0.500 0.247 0.753 Sb
```


(10)
The following is a DFT calculation (GGA-PBE) of crystalline Tl3In at its relaxed geometry.

Values from the calculation:
ΔH_f (0 K) (eV/atom): 0.0361
Total energy (eV for the cell shown): -9.69
Space-group type: Pm-3m

Structure (POSCAR):
```
Tl3In
1.0
4.940 0.000 0.000
0.000 4.940 0.000
0.000 0.000 4.940
Tl In
3 1
direct
0.500 0.500 0.000 Tl
0.500 0.000 0.500 Tl
0.000 0.500 0.500 Tl
0.000 0.000 0.000 In
```


(11)
The following is a DFT calculation (GGA-PBE) of crystalline Pm4Y4Tm5 at its relaxed geometry.

Values from the calculation:
ΔH_f (0 K) (eV/atom): 0.0234
Total energy (eV for the cell shown): -66.91
Space-group type: I4/m

Structure (POSCAR):
```
Pm4Y4Tm5
1.0
4.872 0.000 1.239
2.436 9.097 0.619
0.195 0.000 9.436
Pm Y Tm
4 4 5
direct
0.922 0.461 0.695 Pm
0.617 0.305 0.461 Pm
0.078 0.539 0.305 Pm
0.383 0.695 0.539 Pm
0.772 0.381 0.076 Y
0.228 0.619 0.924 Y
0.847 0.924 0.381 Y
0.153 0.076 0.619 Y
0.689 0.849 0.773 Tm
0.311 0.151 0.227 Tm
0.000 0.000 0.000 Tm
0.538 0.773 0.151 Tm
0.462 0.227 0.849 Tm
```


(12)
The following is a DFT calculation (GGA-PBE) of crystalline BaBeSCl2 at its relaxed geometry.

Values from the calculation:
E above lowest polymorph (eV per formula unit): 0.00
Total energy (eV for the cell shown): -20.91
Space-group type: P4/mmm
Raw formation energy (kcal/mol of atoms): -34.32

Structure (POSCAR):
```
BaBeSCl2
1.0
4.865 0.000 0.000
0.000 4.865 0.000
0.000 0.000 4.501
Be S Ba Cl
1 1 1 2
direct
0.000 0.000 0.000 Be
0.000 0.000 0.500 S
0.500 0.500 0.500 Ba
0.000 0.500 0.000 Cl
0.500 0.000 0.000 Cl
```


(13)
The following is a DFT calculation (GGA-PBE) of crystalline Rb2Tb2PtO6 at its relaxed geometry.

Values from the calculation:
Total energy (eV for the cell shown): -70.14
Space-group type: C2/m
Raw formation energy (kcal/mol of atoms): -48.53

Structure (POSCAR):
```
Rb2Tb2PtO6
1.0
5.828 0.004 0.095
-2.877 5.068 0.095
-1.005 -1.728 6.600
Rb Tb Pt O
2 2 1 6
direct
0.837 0.163 0.000 Rb
0.163 0.837 0.000 Rb
0.335 0.665 0.500 Tb
0.665 0.335 0.500 Tb
0.000 0.000 0.500 Pt
0.747 0.747 0.668 O
0.048 0.360 0.665 O
0.253 0.253 0.332 O
0.360 0.048 0.665 O
0.952 0.640 0.335 O
0.640 0.952 0.335 O
```


(14)
The following is a DFT calculation (GGA-PBE) of crystalline BC2 at its relaxed geometry.

Values from the calculation:
E above lowest polymorph (eV per formula unit): 0.28
ΔH_f (0 K) (eV/atom): 0.3321
Total energy (eV for the cell shown): -96.52
Space-group type: P3m1

Structure (POSCAR):
```
BC2
1.0
-0.464 -0.584 -2.489
2.044 -1.043 1.220
-7.406 -10.122 3.756
B C
4 8
direct
0.000 0.000 0.876 B
0.333 0.667 0.663 B
0.667 0.333 0.331 B
0.333 0.667 0.166 B
0.667 0.333 0.826 C
0.667 0.333 0.717 C
0.000 0.000 0.384 C
0.000 0.000 0.499 C
0.333 0.667 0.540 C
0.667 0.333 0.210 C
0.000 0.000 0.003 C
0.333 0.667 0.035 C
```


(15)
The following is a DFT calculation (GGA-PBE) of crystalline Ac2TeIr at its relaxed geometry.

Values from the calculation:
E above lowest polymorph (eV per formula unit): 0.06
Total energy (eV for the cell shown): -49.12
Space-group type: P6_3/mmc
Raw formation energy (kcal/mol of atoms): -25.03

Structure (POSCAR):
```
Ac2TeIr
1.0
4.428 0.000 0.000
-2.214 3.835 0.000
0.000 0.000 15.993
Ac Te Ir
4 2 2
direct
0.333 0.667 0.397 Ac
0.667 0.333 0.897 Ac
0.667 0.333 0.603 Ac
0.333 0.667 0.103 Ac
0.667 0.333 0.250 Te
0.333 0.667 0.750 Te
0.000 0.000 0.500 Ir
0.000 0.000 0.000 Ir
```


(16)
The following is a DFT calculation (GGA-PBE) of crystalline AlSbTeN2 at its relaxed geometry.

Values from the calculation:
E above lowest polymorph (eV per formula unit): 0.92
Total energy (eV for the cell shown): -21.90
Space-group type: P4/mmm
Raw formation energy (kcal/mol of atoms): 26.54

Structure (POSCAR):
```
AlSbTeN2
1.0
4.042 0.000 0.000
0.000 4.042 0.000
0.000 0.000 6.625
Sb Te Al N
1 1 1 2
direct
0.000 0.000 0.000 Sb
0.000 0.000 0.500 Te
0.500 0.500 0.500 Al
0.000 0.500 0.000 N
0.500 0.000 0.000 N
```


(17)
The following is a DFT calculation (GGA-PBE) of crystalline LiYP2 at its relaxed geometry.

Values from the calculation:
E above lowest polymorph (eV per formula unit): 0.78
ΔH_f (0 K) (eV/atom): -0.6769
Total energy (eV for the cell shown): -21.91
Space-group type: Imm2

Structure (POSCAR):
```
LiYP2
1.0
-3.119 -0.056 -4.543
-4.326 -3.396 -0.345
2.175 3.825 3.317
Li P Y
1 2 1
direct
0.753 0.253 0.500 Li
0.021 0.021 0.000 P
0.229 0.729 0.500 P
0.496 0.496 0.000 Y
```


(18)
The following is a DFT calculation (GGA-PBE) of crystalline Sr2SnHgPb at its relaxed geometry.

Values from the calculation:
ΔH_f (0 K) (eV/atom): -0.4684
Total energy (eV for the cell shown): -27.44
Space-group type: P2_1/m

Structure (POSCAR):
```
Sr2SnHgPb
1.0
4.850 0.000 0.000
0.000 8.821 0.202
0.000 -3.514 7.857
Sr Sn Hg Pb
4 2 2 2
direct
0.750 0.881 0.623 Sr
0.750 0.689 0.022 Sr
0.250 0.119 0.377 Sr
0.250 0.311 0.978 Sr
0.250 0.705 0.306 Sn
0.750 0.295 0.694 Sn
0.250 0.902 0.922 Hg
0.750 0.098 0.078 Hg
0.250 0.528 0.654 Pb
0.750 0.472 0.346 Pb
```


(19)
The following is a DFT calculation (GGA-PBE) of crystalline Ba2ReSi at its relaxed geometry.

Values from the calculation:
Total energy (eV for the cell shown): -17.85
Space-group type: P2/m
Raw formation energy (kcal/mol of atoms): 22.30

Structure (POSCAR):
```
Ba2ReSi
1.0
-2.285 -3.416 2.204
-1.629 -0.823 -2.964
3.644 -5.390 -4.578
Ba Re Si
2 1 1
direct
0.000 0.002 0.998 Ba
0.000 0.498 0.502 Ba
0.500 0.250 0.250 Re
0.500 0.750 0.750 Si
```


(20)
The following is a DFT calculation (GGA-PBE) of crystalline TaTiS2N at its relaxed geometry.

Values from the calculation:
E above lowest polymorph (eV per formula unit): 0.00
Total energy (eV for the cell shown): -37.45
Space-group type: P4/mmm
Raw formation energy (kcal/mol of atoms): -5.18

Structure (POSCAR):
```
TaTiS2N
1.0
-3.801 0.948 2.923
2.393 -2.001 3.762
1.531 3.461 0.867
N S Ti Ta
1 2 1 1
direct
0.000 0.000 0.500 N
0.000 0.500 0.000 S
0.500 0.000 0.000 S
0.500 0.500 0.500 Ti
0.000 0.000 0.000 Ta
```


(21)
The following is a DFT calculation (GGA-PBE) of crystalline AlFe2N3 at its relaxed geometry.

Values from the calculation:
Total energy (eV for the cell shown): -94.45
Space-group type: Cmc2_1
Raw formation energy (kcal/mol of atoms): -6.09

Structure (POSCAR):
```
AlFe2N3
1.0
2.610 -4.650 0.000
2.610 4.650 0.000
0.000 0.000 4.969
Al Fe N
2 4 6
direct
0.668 0.668 0.000 Al
0.332 0.332 0.500 Al
0.994 0.346 0.989 Fe
0.346 0.994 0.989 Fe
0.006 0.654 0.489 Fe
0.654 0.006 0.489 Fe
0.998 0.324 0.357 N
0.324 0.998 0.357 N
0.002 0.676 0.857 N
0.676 0.002 0.857 N
0.673 0.673 0.379 N
0.327 0.327 0.879 N
```


(22)
The following is a DFT calculation (GGA-PBE) of crystalline Pm7Pr3Y2 at its relaxed geometry.

Values from the calculation:
E above lowest polymorph (eV per formula unit): 0.13
ΔH_f (0 K) (eV/atom): 0.0852
Total energy (eV for the cell shown): -59.50
Space-group type: P2/m

Structure (POSCAR):
```
Pm7Pr3Y2
1.0
-2.785 -1.902 -1.363
3.842 -3.842 -2.489
-3.610 -7.618 18.011
Pm Pr Y
7 3 2
direct
0.500 0.720 0.464 Pm
0.500 0.280 0.536 Pm
0.000 0.456 0.145 Pm
0.000 0.000 0.000 Pm
0.000 0.544 0.855 Pm
0.500 0.011 0.821 Pm
0.500 0.989 0.179 Pm
0.500 0.500 0.000 Pr
0.000 0.143 0.367 Pr
0.000 0.857 0.633 Pr
0.500 0.581 0.295 Y
0.500 0.419 0.705 Y
```


(23)
The following is a DFT calculation (GGA-PBE) of crystalline SrMg2Te at its relaxed geometry.

Values from the calculation:
Total energy (eV for the cell shown): -9.85
Space-group type: Cm
Raw formation energy (kcal/mol of atoms): -10.61

Structure (POSCAR):
```
SrMg2Te
1.0
5.467 0.014 0.004
3.875 3.856 0.004
1.791 0.742 6.110
Mg Sr Te
2 1 1
direct
0.991 0.991 0.964 Mg
0.730 0.730 0.849 Mg
0.510 0.510 0.484 Sr
0.269 0.269 0.202 Te
```